Entry from Alexandria: In2TePb after structural relaxation (GGA-PBE).

Output
For the spin magnetization, the calculation gives 0.00 Bohr magnetons per cell. Its crystal system is orthorhombic. The value obtained for the offset from the most stable computed form is 0.56 eV per formula unit.

Unit cell a=3.7965 b=5.5553 c=11.1550 alpha=90.00 beta=90.00 gamma=90.00
Closest atoms and distances in Å follow each position.
Space group Cmmm (No. 65)
Inequivalent atoms, fractional coordinates:
In 0.0000 0.0000 0.2411 (multiplicity 4)  2 Te 3.29, 4 In 3.36, 2 Pb 3.46
Te 0.0000 0.5000 0.0000 (multiplicity 2)  4 In 3.29, 4 Te 3.36
Pb 0.0000 0.5000 0.5000 (multiplicity 2)  4 Pb 3.36, 4 In 3.46